The following is a DFT calculation (GGA+U) of a relaxed Mg2PaVO6 crystal.

```
Mg2PaVO6
1.0
-3.7670 0.7259 -3.7538
-4.3211 -3.1826 -0.1168
-5.0146 2.2228 1.6267
O Mg Pa V
6 2 1 1
Direct
0.9253 0.6025 0.2538
0.2181 0.9254 0.2540
0.7103 0.1246 0.7617
0.1249 0.4033 0.7616
0.6024 0.2184 0.2538
0.4034 0.7103 0.7616
0.0219 0.0216 0.9348
0.5254 0.5254 0.4239
0.8127 0.8127 0.5619
0.3173 0.3173 0.0481
```

Properties
- Total magnetic moment: 2.0 μB/cell
- Theoretical density: 5.902 g cm⁻³
- SG: R3 (146)
- Total energy: -7.798 eV/atom